Record 1
## Sm4AgRu3 (PBE-GGA)

Data for a geometry-optimized Sm4AgRu3 structure.

- ΔH_f (0 K): -0.2302 eV per atom
- Raw total energy: -6.42 eV per atom

Cell and atoms, written as CIF:
```
data_Sm4AgRu3
_chemical_formula_sum 'Sm4 Ag1 Ru3'
_cell_length_a 4.968
_cell_length_b 4.968
_cell_length_c 7.099
_cell_angle_alpha 90.00
_cell_angle_beta 90.00
_cell_angle_gamma 90.00
_symmetry_space_group_name_H-M 'P 4/m m m'
_symmetry_Int_Tables_number 123
_symmetry_space_group_name_Hall '-P 4 2'
loop_
_atom_site_label
_atom_site_fract_x
_atom_site_fract_y
_atom_site_fract_z
Sm1 0.000 0.500 0.240
Ag1 0.000 0.000 0.500
Ru1 0.000 0.000 0.000
Ru2 0.500 0.500 0.000
Ru3 0.500 0.500 0.500
```

=====

Record 2
## SmThAgRu (PBE-GGA)

Data for a geometry-optimized SmThAgRu structure.

- ΔH_f (0 K): -0.2076 eV per atom
- Raw total energy: -6.27 eV per atom

Cell and atoms, written as CIF:
```
data_SmThAgRu
_chemical_formula_sum 'Sm4 Th4 Ag4 Ru4'
_cell_length_a 7.234
_cell_length_b 7.234
_cell_length_c 7.234
_cell_angle_alpha 90.00
_cell_angle_beta 90.00
_cell_angle_gamma 90.00
_symmetry_space_group_name_H-M 'F -4 3 m'
_symmetry_Int_Tables_number 216
_symmetry_space_group_name_Hall 'F -4 2 3'
loop_
_atom_site_label
_atom_site_fract_x
_atom_site_fract_y
_atom_site_fract_z
Sm1 0.000 0.000 0.000
Th1 0.000 0.000 0.500
Ag1 0.250 0.250 0.750
Ru1 0.250 0.250 0.250
```

=====

Record 3
## SmTmAgRu (PBE-GGA)

Data for a geometry-optimized SmTmAgRu structure.

- ΔH_f (0 K): -0.3144 eV per atom
- Raw total energy: -5.64 eV per atom
- Energy above the lowest structure with this stoichiometry: 27.1 kJ/mol of formula units

Cell and atoms, written as CIF:
```
data_SmTmAgRu
_chemical_formula_sum 'Sm4 Tm4 Ag4 Ru4'
_cell_length_a 7.045
_cell_length_b 7.045
_cell_length_c 7.045
_cell_angle_alpha 90.00
_cell_angle_beta 90.00
_cell_angle_gamma 90.00
_symmetry_space_group_name_H-M 'F -4 3 m'
_symmetry_Int_Tables_number 216
_symmetry_space_group_name_Hall 'F -4 2 3'
loop_
_atom_site_label
_atom_site_fract_x
_atom_site_fract_y
_atom_site_fract_z
Sm1 0.000 0.000 0.000
Tm1 0.000 0.000 0.500
Ag1 0.250 0.250 0.250
Ru1 0.250 0.250 0.750
```

=====

Record 4
## SmTmAgRu (PBE-GGA)

Data for a geometry-optimized SmTmAgRu structure.

- ΔH_f (0 K): -0.3845 eV per atom
- Raw total energy: -5.71 eV per atom
- Energy above the lowest structure with this stoichiometry: 0.0 kJ/mol of formula units

Cell and atoms, written as CIF:
```
data_SmTmAgRu
_chemical_formula_sum 'Sm1 Tm1 Ag1 Ru1'
_cell_length_a 3.428
_cell_length_b 3.428
_cell_length_c 7.556
_cell_angle_alpha 90.00
_cell_angle_beta 90.00
_cell_angle_gamma 90.00
_symmetry_space_group_name_H-M 'P 4 m m'
_symmetry_Int_Tables_number 99
_symmetry_space_group_name_Hall 'P 4 -2'
loop_
_atom_site_label
_atom_site_fract_x
_atom_site_fract_y
_atom_site_fract_z
Sm1 0.000 0.000 0.000
Tm1 0.000 0.000 0.555
Ag1 0.500 0.500 0.295
Ru1 0.500 0.500 0.767
```

=====

Record 5
## SmYAgRu (PBE-GGA)

Data for a geometry-optimized SmYAgRu structure.

- ΔH_f (0 K): -0.3456 eV per atom
- Raw total energy: -6.17 eV per atom
- Energy above the lowest structure with this stoichiometry: 0.0 kJ/mol of formula units

Cell and atoms, written as CIF:
```
data_SmYAgRu
_chemical_formula_sum 'Sm1 Y1 Ag1 Ru1'
_cell_length_a 3.462
_cell_length_b 3.462
_cell_length_c 7.578
_cell_angle_alpha 90.00
_cell_angle_beta 90.00
_cell_angle_gamma 90.00
_symmetry_space_group_name_H-M 'P 4 m m'
_symmetry_Int_Tables_number 99
_symmetry_space_group_name_Hall 'P 4 -2'
loop_
_atom_site_label
_atom_site_fract_x
_atom_site_fract_y
_atom_site_fract_z
Sm1 0.000 0.000 0.000
Y1 0.000 0.000 0.553
Ag1 0.500 0.500 0.286
Ru1 0.500 0.500 0.773
```

=====

Record 6
## SmYAgRu (PBE-GGA)

Data for a geometry-optimized SmYAgRu structure.

- ΔH_f (0 K): -0.2869 eV per atom
- Raw total energy: -6.11 eV per atom
- Energy above the lowest structure with this stoichiometry: 22.7 kJ/mol of formula units

Cell and atoms, written as CIF:
```
data_SmYAgRu
_chemical_formula_sum 'Sm4 Y4 Ag4 Ru4'
_cell_length_a 7.099
_cell_length_b 7.099
_cell_length_c 7.099
_cell_angle_alpha 90.00
_cell_angle_beta 90.00
_cell_angle_gamma 90.00
_symmetry_space_group_name_H-M 'F -4 3 m'
_symmetry_Int_Tables_number 216
_symmetry_space_group_name_Hall 'F -4 2 3'
loop_
_atom_site_label
_atom_site_fract_x
_atom_site_fract_y
_atom_site_fract_z
Sm1 0.000 0.000 0.000
Y1 0.000 0.000 0.500
Ag1 0.250 0.250 0.250
Ru1 0.250 0.250 0.750
```